Entry 1:
Material: CeZn2Ga2Au2
Method: DFT, GGA-PBE
State: optimized geometry

Cell: 8.486 8.486 8.486 Å, 30.33 30.33 30.33°
Element x y z (fractional)
Ce 0.000 0.000 0.000
Zn 0.135 0.135 0.135
Zn 0.865 0.865 0.865
Ga 0.404 0.404 0.404
Ga 0.596 0.596 0.596
Au 0.244 0.244 0.244
Au 0.756 0.756 0.756

Output
The crystal system is trigonal. The formation energy is -2.81 eV per formula unit. As for the space group: No. 166. For the total magnetic moment, the calculation gives 0.06 μB/atom.

=====

Entry 2:
Material: Cd2AgOsO6
Method: DFT, GGA-PBE
State: optimized geometry

Cell: 5.848 5.848 5.848 Å, 58.48 58.48 58.48°
Element x y z (fractional)
Cd 0.000 0.000 0.000
Cd 0.491 0.491 0.491
Ag 0.256 0.256 0.256
Os 0.782 0.782 0.782
O 0.013 0.448 0.688
O 0.132 0.868 0.605
O 0.448 0.688 0.013
O 0.605 0.132 0.868
O 0.688 0.013 0.448
O 0.868 0.605 0.132

Output
The crystal system is trigonal. As for the space group: No. 146. For the total magnetic moment, the calculation gives 0.01 μB/atom. For the uncorrected formation energy, the calculation gives -800 meV per atom.